(1)
An optimized crystal structure of Cd2Pt. Source: Alexandria via LeMat-Bulk, functional PBEsol. Values from VASP.

Computed properties:
- ΔH_f (0 K): -131 meV/atom
- M_tot: 0.00 μB per atom
- Space group: P6/mmm (191)

The structure in Quantum ESPRESSO input format:
```
&SYSTEM
  ibrav = 0, nat = 3, ntyp = 2
/
ATOMIC_SPECIES
Pt 195.08 Pt.upf
Cd 112.41 Cd.upf
ATOMIC_POSITIONS angstrom
Pt 1.4227 0.0000 0.0000
Cd 0.0000 2.3126 1.3352
Cd 0.0000 0.0000 2.6703
CELL_PARAMETERS angstrom
2.8455 0.0000 0.0000
0.0000 4.6251 0.0000
0.0000 -2.3126 4.0055
```

---

(2)
An optimized crystal structure of CdPt2. Source: Alexandria via LeMat-Bulk, functional PBEsol. Values from VASP.

Computed properties:
- ΔH_f (0 K): -188 meV/atom
- M_tot: 0.00 μB per atom
- Space group: I4/mmm (139)

The structure in Quantum ESPRESSO input format:
```
&SYSTEM
  ibrav = 0, nat = 3, ntyp = 2
/
ATOMIC_SPECIES
Pt 195.08 Pt.upf
Cd 112.41 Cd.upf
ATOMIC_POSITIONS angstrom
Pt 0.0000 0.0000 2.0287
Pt 1.4156 1.4156 3.9646
Cd 1.4156 1.4156 0.0000
CELL_PARAMETERS angstrom
2.8313 0.0000 0.0000
0.0000 2.8313 0.0000
-1.4156 -1.4156 5.9932
```

---

(3)
An optimized crystal structure of Cd2Pt. Source: Alexandria via LeMat-Bulk, functional PBEsol. Values from VASP.

Computed properties:
- ΔH_f (0 K): -225 meV/atom
- M_tot: 0.00 μB per atom
- Space group: C2/m (12)

The structure in Quantum ESPRESSO input format:
```
&SYSTEM
  ibrav = 0, nat = 6, ntyp = 2
/
ATOMIC_SPECIES
Pt 195.08 Pt.upf
Cd 112.41 Cd.upf
ATOMIC_POSITIONS angstrom
Pt -4.3378 -0.7683 -1.1698
Pt -0.3938 -4.9309 3.1297
Cd -3.1829 -5.1247 2.2777
Cd -1.5487 -0.5746 -0.3178
Cd -3.6622 -2.2249 1.1565
Cd -1.0694 -3.4743 0.8033
CELL_PARAMETERS angstrom
-0.8738 0.8839 2.6597
-4.3942 0.3237 -3.1715
0.5365 -6.9069 2.4717
```